This record from the Alexandria database describes an optimized crystal structure of PrSm3Ho6Sc2. The functional is PBE-GGA.

## Properties
Its space group is C2/m. The formation energy is 0.038 eV per atom. As for the total energy: -58.6 eV per cell.

Cell lengths 6.0999, 6.0999, 11.6809 Å; angles 94.98, 94.98, 119.98 degrees
Positions (direct):
Pr: 0.0000 0.0000 0.0000
Sm: 0.1671 0.8329 0.5000
Sm: 0.5000 0.5000 0.5000
Sm: 0.8329 0.1671 0.5000
Ho: 0.0823 0.4187 0.2449
Ho: 0.2545 0.2545 0.7551
Ho: 0.4187 0.0823 0.2449
Ho: 0.5813 0.9177 0.7551
Ho: 0.7455 0.7455 0.2449
Ho: 0.9177 0.5813 0.7551
Sc: 0.3332 0.6668 0.0000
Sc: 0.6668 0.3332 0.0000



This record from the Alexandria database describes an optimized crystal structure of Pr5Sm2HoSc. The functional is PBE-GGA.

## Properties
Its space group is I4/mcm. The formation energy is 0.288 eV per atom. As for the total energy: -83.3 eV per cell.

Cell lengths 10.5142, 10.5142, 10.5142 Å; angles 132.48, 132.48, 69.47 degrees
Positions (direct):
Pr: 0.0000 0.0000 0.0000
Pr: 0.0718 0.5718 0.9339
Pr: 0.1379 0.0718 0.5000
Pr: 0.3621 0.8621 0.9339
Pr: 0.4282 0.3621 0.5000
Pr: 0.5000 0.5000 0.0000
Pr: 0.5718 0.6379 0.5000
Pr: 0.6379 0.1379 0.0661
Pr: 0.8621 0.9282 0.5000
Pr: 0.9282 0.4282 0.0661
Sm: 0.1253 0.3747 0.5000
Sm: 0.3747 0.8747 0.2494
Sm: 0.6253 0.1253 0.7506
Sm: 0.8747 0.6253 0.5000
Ho: 0.2500 0.2500 0.0000
Ho: 0.7500 0.7500 0.0000
Sc: 0.2500 0.7500 0.5000
Sc: 0.7500 0.2500 0.5000